Rb2CoO PBE with a Hubbard U optimized geometry; uncorrected energy = -3.5104 eV/atom; crystal system = tetragonal; magnetic moment = 0.495 μB per atom; Fermi-level density of states = 1.11 states/eV/f.u.
1.0
12.262 0.000 0.000
0.000 12.262 0.000
0.000 0.000 3.667
Rb Co O
8 4 4
Cartesian
0.425 3.066 0.458
3.066 6.557 1.375
3.066 11.837 3.209
5.706 3.066 2.292
6.557 9.197 2.292
9.197 0.425 3.209
9.197 5.706 1.375
11.837 9.197 0.458
0.000 0.000 1.833
0.000 6.131 2.750
6.131 0.000 0.917
6.131 6.131 0.000
0.000 0.000 0.000
0.000 6.131 0.917
6.131 0.000 2.750
6.131 6.131 1.833